# BaInFeWO6

A geometry-optimized BaInFeWO6 structure (GGA+U, Alexandria via LeMat-Bulk).

Values from the calculation:
DFT total energy (eV/atom): -6.59
Crystal system: cubic

```
data_BaInFeWO6
_cell_length_a 5.749
_cell_length_b 5.749
_cell_length_c 5.749
_cell_angle_alpha 60.00
_cell_angle_beta 60.00
_cell_angle_gamma 60.00
_space_group_name_H-M_alt 'P 1'
_space_group_IT_number 1
loop_
_space_group_symop_operation_xyz
'x,y,z'
loop_
_atom_site_label
_atom_site_type_symbol
_atom_site_fract_x
_atom_site_fract_y
_atom_site_fract_z
Ba1 Ba 0.750 0.750 0.750
In1 In 0.250 0.250 0.250
Fe1 Fe 0.000 0.000 0.000
W1 W 0.500 0.500 0.500
O1 O 0.258 0.742 0.258
O2 O 0.742 0.258 0.742
O3 O 0.258 0.742 0.742
O4 O 0.742 0.258 0.258
O5 O 0.258 0.258 0.742
O6 O 0.742 0.742 0.258
```